[1]
First-principles (PBE-GGA) data for an optimized crystal structure of Nb3Si5Au, as listed in OQMD via LeMat-Bulk.

abc: 5.5250 5.5250 6.5430
angles: 90.00 90.00 120.00
Space group P6/mmm (No. 191)
Asymmetric unit:
Nb  0.0000  0.5000  0.0000
Si  0.0000  0.0000  0.0000
Si  0.3333  0.6667  0.3248
Au  0.0000  0.0000  0.5000

E, eV/atom: -6.521
M_tot, μB/f.u.: 0.03


[2]
First-principles (PBE-GGA) data for an optimized crystal structure of Ba2AuS, as listed in OQMD via LeMat-Bulk.

abc: 4.5357 8.1412 7.7634
angles: 90.00 90.00 90.00
Space group Pmc2_1 (No. 26)
Asymmetric unit:
Ba  0.0000  0.1479  0.0000
Ba  0.5000  0.3117  0.4958
Au  0.0000  0.4987  0.2433
S  0.5000  0.0030  0.7500

E, eV/atom: -4.105


[3]
First-principles (PBE-GGA) data for an optimized crystal structure of LaNd2Si2Ge2Pd4, as listed in OQMD via LeMat-Bulk.

abc: 4.1744 4.3688 24.8115
angles: 90.00 90.00 90.00
Space group Immm (No. 71)
Asymmetric unit:
La  0.0000  0.0000  0.0000
Nd  0.0000  0.5000  0.1490
Si  0.0000  0.5000  0.3019
Ge  0.0000  0.0000  0.4490
Pd  0.0000  0.0000  0.2494
Pd  0.0000  0.5000  0.3989

Distance to the lowest polymorph of the same formula, meV/atom: 0
E, eV/atom: -5.964
M_tot, μB/f.u.: 0.02


[4]
First-principles (PBE-GGA) data for an optimized crystal structure of SrCd2O3, as listed in OQMD via LeMat-Bulk.

abc: 4.4560 12.7846 3.3518
angles: 90.00 90.00 90.00
Space group Cmmm (No. 65)
Asymmetric unit:
Sr  0.0000  0.0000  0.0000
Cd  0.0000  0.3308  0.5000
O  0.0000  0.1578  0.5000
O  0.0000  0.5000  0.5000

Distance to the lowest polymorph of the same formula, meV/atom: 190
E, eV/atom: -4.457


[5]
First-principles (PBE-GGA) data for an optimized crystal structure of GaMo2W, as listed in OQMD via LeMat-Bulk.

abc: 6.3008 6.3008 6.3008
angles: 90.00 90.00 90.00
Space group F-43m (No. 216)
Asymmetric unit:
Ga  0.0000  0.0000  0.0000
Mo  0.0000  0.0000  0.5000
Mo  0.2500  0.2500  0.7500
W  0.2500  0.2500  0.2500

E, eV/atom: -9.224
M_tot, μB/f.u.: 0.00


[6]
First-principles (PBE-GGA) data for an optimized crystal structure of CsAcAu, as listed in OQMD via LeMat-Bulk.

abc: 7.6236 7.6236 7.6236
angles: 90.00 90.00 90.00
Space group F-43m (No. 216)
Asymmetric unit:
Cs  0.0000  0.0000  0.0000
Ac  0.2500  0.2500  0.7500
Au  0.2500  0.2500  0.2500

Distance to the lowest polymorph of the same formula, meV/atom: 239
E, eV/atom: -2.176
M_tot, μB/f.u.: 0.01


[7]
First-principles (PBE-GGA) data for an optimized crystal structure of CuMoPdAu, as listed in OQMD via LeMat-Bulk.

abc: 6.2497 6.2497 6.2497
angles: 90.00 90.00 90.00
Space group F-43m (No. 216)
Asymmetric unit:
Cu  0.0000  0.0000  0.0000
Mo  0.2500  0.2500  0.2500
Pd  0.0000  0.0000  0.5000
Au  0.2500  0.2500  0.7500

Distance to the lowest polymorph of the same formula, meV/atom: 0
E, eV/atom: -5.526
M_tot, μB/f.u.: 0.01
ΔE_f, kJ/mol of formula units: 87


[8]
First-principles (PBE-GGA) data for an optimized crystal structure of Nb3BiN2, as listed in OQMD via LeMat-Bulk.

abc: 3.2544 3.2544 19.0871
angles: 90.00 90.00 120.00
Space group P6_3/mmc (No. 194)
Asymmetric unit:
Nb  0.0000  0.0000  0.0000
Nb  0.3333  0.6667  0.1246
Bi  0.0000  0.0000  0.2500
N  0.3333  0.6667  0.5653

E, eV/atom: -8.936
M_tot, μB/f.u.: 0.00


[9]
First-principles (PBE-GGA) data for an optimized crystal structure of PmPrAsO, as listed in OQMD via LeMat-Bulk.

abc: 4.3950 4.3950 9.3917
angles: 90.00 90.00 90.00
Space group P4/nmm (No. 129, origin choice 2)
Asymmetric unit:
Pm  0.2500  0.2500  0.1023
Pr  0.2500  0.7500  0.5000
As  0.2500  0.2500  0.7153
O  0.2500  0.7500  0.0000

Distance to the lowest polymorph of the same formula, meV/atom: 111
E, eV/atom: -6.585
M_tot, μB/f.u.: 0.01


[10]
First-principles (PBE-GGA) data for an optimized crystal structure of Li2ZnTcH6, as listed in OQMD via LeMat-Bulk.

abc: 6.9486 6.9486 6.9486
angles: 90.00 90.00 90.00
Space group Fm-3m (No. 225)
Asymmetric unit:
Li  0.2500  0.2500  0.2500
Zn  0.0000  0.0000  0.0000
Tc  0.0000  0.0000  0.5000
H  0.0000  0.0000  0.2499

E, eV/atom: -3.564
M_tot, μB/f.u.: 1.00


[11]
First-principles (PBE-GGA) data for an optimized crystal structure of SmAsNO, as listed in OQMD via LeMat-Bulk.

abc: 4.0624 6.0292 4.9620
angles: 90.00 90.00 90.00
Space group Pmc2_1 (No. 26)
Asymmetric unit:
Sm  0.0000  0.2374  0.0000
As  0.5000  0.1789  0.4961
N  0.0000  0.1619  0.4904
O  0.5000  0.3622  0.8023

Distance to the lowest polymorph of the same formula, meV/atom: 164
E, eV/atom: -6.763
M_tot, μB/f.u.: 0.00


[12]
First-principles (PBE-GGA) data for an optimized crystal structure of SmCoPt, as listed in OQMD via LeMat-Bulk.

abc: 6.3992 6.3992 6.3992
angles: 90.00 90.00 90.00
Space group F-43m (No. 216)
Asymmetric unit:
Sm  0.0000  0.0000  0.0000
Co  0.2500  0.2500  0.7500
Pt  0.2500  0.2500  0.2500

E, eV/atom: -5.665
M_tot, μB/f.u.: 0.69
ΔE_f, kJ/mol of formula units: 85